VASP calculation (PBEsol) on a geometry-optimized YMoIr2 structure.

Summary:
SG   Cm, No. 8
Energy relative to the lowest polymorph listed for this composition   0 meV/atom
E_form   -0.15 eV/atom

a = 5.201 Å, b = 5.201 Å, c = 4.807 Å
α = 102.31°, β = 102.31°, γ = 31.87°
Fractional coordinates of all 4 atoms:
Y  0.000  0.000  0.000
Mo  0.792  0.792  0.357
Ir  0.243  0.243  0.826
Ir  0.525  0.525  0.502



VASP calculation (PBEsol) on a geometry-optimized YMo2Ir structure.

Summary:
SG   Imm2, No. 44
Energy relative to the lowest polymorph listed for this composition   40 meV/atom
E_form   0.15 eV/atom

a = 5.336 Å, b = 5.336 Å, c = 5.336 Å
α = 145.26°, β = 126.57°, γ = 65.31°
Fractional coordinates of all 4 atoms:
Y  0.000  0.000  0.000
Mo  0.513  0.513  0.000
Mo  0.727  0.227  0.500
Ir  0.269  0.769  0.500



VASP calculation (PBEsol) on a geometry-optimized YMo2Ir structure.

Summary:
SG   C2/m, No. 12
Energy relative to the lowest polymorph listed for this composition   0 meV/atom
E_form   0.11 eV/atom

a = 5.358 Å, b = 5.358 Å, c = 4.717 Å
α = 105.21°, β = 105.21°, γ = 32.73°
Fractional coordinates of all 4 atoms:
Y  0.000  0.000  0.000
Mo  0.227  0.227  0.700
Mo  0.773  0.773  0.300
Ir  0.500  0.500  0.500



VASP calculation (PBEsol) on a geometry-optimized ZnMoIr2 structure.

Summary:
SG   P4mm, No. 99
E_form   -0.01 eV/atom

a = 2.727 Å, b = 2.727 Å, c = 7.615 Å
α = 90.00°, β = 90.00°, γ = 90.00°
Fractional coordinates of all 4 atoms:
Zn  0.000  0.000  0.000
Mo  0.500  0.500  0.739
Ir  0.000  0.000  0.488
Ir  0.500  0.500  0.235



VASP calculation (PBEsol) on a geometry-optimized ZnMo2Ir structure.

Summary:
SG   Pmmm, No. 47
E_form   -0.10 eV/atom

a = 2.710 Å, b = 4.047 Å, c = 5.227 Å
α = 90.00°, β = 90.00°, γ = 90.00°
Fractional coordinates of all 4 atoms:
Zn  0.000  0.000  0.000
Mo  0.500  0.500  0.245
Mo  0.500  0.500  0.755
Ir  0.000  0.000  0.500



VASP calculation (PBEsol) on a geometry-optimized ZnMo2Ir structure.

Summary:
SG   P4/mmm, No. 123
E_form   0.03 eV/atom

a = 3.761 Å, b = 3.761 Å, c = 4.066 Å
α = 90.00°, β = 90.00°, γ = 90.00°
Fractional coordinates of all 4 atoms:
Zn  0.000  0.000  0.000
Mo  0.000  0.500  0.500
Mo  0.500  0.000  0.500
Ir  0.500  0.500  0.000



VASP calculation (PBEsol) on a geometry-optimized ZnMoIr2 structure.

Summary:
SG   R-3m, No. 166
E_form   -0.19 eV/atom

a = 8.838 Å, b = 8.838 Å, c = 8.838 Å
α = 17.87°, β = 17.87°, γ = 17.87°
Fractional coordinates of all 4 atoms:
Zn  0.000  0.000  0.000
Mo  0.500  0.500  0.500
Ir  0.250  0.250  0.250
Ir  0.750  0.750  0.750



VASP calculation (PBEsol) on a geometry-optimized Zn2MoIr structure.

Summary:
SG   C2/m, No. 12
Energy relative to the lowest polymorph listed for this composition   179 meV/atom
E_form   0.01 eV/atom

a = 4.643 Å, b = 4.643 Å, c = 4.722 Å
α = 100.51°, β = 100.51°, γ = 34.52°
Fractional coordinates of all 4 atoms:
Zn  0.246  0.246  0.244
Zn  0.754  0.754  0.756
Mo  0.000  0.000  0.500
Ir  0.500  0.500  0.000



VASP calculation (PBEsol) on a geometry-optimized Zn2MoIr structure.

Summary:
SG   P4mm, No. 99
Energy relative to the lowest polymorph listed for this composition   0 meV/atom
E_form   -0.17 eV/atom

a = 2.835 Å, b = 2.835 Å, c = 6.981 Å
α = 90.00°, β = 90.00°, γ = 90.00°
Fractional coordinates of all 4 atoms:
Zn  0.000  0.000  0.000
Zn  0.500  0.500  0.241
Mo  0.500  0.500  0.736
Ir  0.000  0.000  0.490



VASP calculation (PBEsol) on a geometry-optimized ZnMoIr2 structure.

Summary:
SG   P4/mmm, No. 123
E_form   -0.31 eV/atom

a = 2.802 Å, b = 2.802 Å, c = 7.156 Å
α = 90.00°, β = 90.00°, γ = 90.00°
Fractional coordinates of all 4 atoms:
Zn  0.000  0.000  0.000
Mo  0.000  0.000  0.500
Ir  0.500  0.500  0.247
Ir  0.500  0.500  0.753



VASP calculation (PBEsol) on a geometry-optimized Zn2MoIr structure.

Summary:
SG   I-4m2, No. 119
Energy relative to the lowest polymorph listed for this composition   151 meV/atom
E_form   -0.02 eV/atom

a = 4.523 Å, b = 4.523 Å, c = 4.523 Å
α = 127.87°, β = 127.87°, γ = 76.83°
Fractional coordinates of all 4 atoms:
Zn  0.000  0.000  0.000
Zn  0.750  0.250  0.500
Mo  0.250  0.750  0.500
Ir  0.500  0.500  0.000



VASP calculation (PBEsol) on a geometry-optimized ZnMo2Ir structure.

Summary:
SG   Pmm2, No. 25
E_form   -0.08 eV/atom

a = 2.726 Å, b = 4.393 Å, c = 4.809 Å
α = 90.00°, β = 90.00°, γ = 90.00°
Fractional coordinates of all 4 atoms:
Zn  0.000  0.000  0.000
Mo  0.500  0.000  0.504
Mo  0.500  0.500  0.824
Ir  0.000  0.500  0.316